Entry 1:
{
  "formula": "Tm3MgRu",
  "functional": "PBE-GGA",
  "state": "relaxed",
  "formation_energy_mev_per_atom": -105,
  "crystal_system": "cubic",
  "dos_ef_per_ev_fu": 3.30,
  "total_magnetization_mub_per_fu": 0.0,
  "space_group": "Pm-3m",
  "e_above_lowest_polymorph_mev_per_atom": 131.1,
  "lattice": [[5.285, 0.000, 0.000], [0.000, 5.285, 0.000], [0.000, 0.000, 5.285]],
  "species": ["Ru", "Mg", "Tm", "Tm", "Tm"],
  "frac_coords": [[0.000, 0.000, 0.000], [0.500, 0.500, 0.500], [0.000, 0.500, 0.000], [0.000, 0.000, 0.500], [0.500, 0.000, 0.000]]
}



Entry 2:
{
  "formula": "RbSn2AsBr8",
  "functional": "PBE-GGA",
  "state": "relaxed",
  "crystal_system": "triclinic",
  "dos_ef_per_ev_fu": 0.00,
  "formation_energy_uncorrected_ev_per_fu": -9.282,
  "total_magnetization_mub_per_fu": 0.0,
  "space_group": "P-1",
  "lattice": [[-6.786, 2.280, 0.860], [-2.145, -5.996, 2.568], [1.205, 2.752, 8.803]],
  "species": ["Rb", "Sn", "Sn", "As", "Br", "Br", "Br", "Br", "Br", "Br", "Br", "Br"],
  "frac_coords": [[0.000, 0.000, 0.500], [0.476, 0.470, 0.757], [0.524, 0.530, 0.243], [0.000, 0.000, 0.000], [0.161, 0.767, 0.200], [0.697, 0.779, 0.023], [0.846, 0.236, 0.203], [0.839, 0.233, 0.800], [0.303, 0.221, 0.977], [0.154, 0.764, 0.797], [0.627, 0.726, 0.468], [0.373, 0.274, 0.532]]
}



Entry 3:
{
  "formula": "Hf2Al2Rh",
  "functional": "PBE-GGA",
  "state": "relaxed",
  "formation_energy_mev_per_atom": -580,
  "crystal_system": "tetragonal",
  "dos_ef_per_ev_fu": 3.90,
  "total_magnetization_mub_per_fu": 0.0,
  "space_group": "P4/mbm",
  "lattice": [[6.520, 0.000, 0.000], [0.000, 6.520, 0.000], [0.000, 0.000, 4.204]],
  "species": ["Rh", "Rh", "Hf", "Hf", "Hf", "Hf", "Al", "Al", "Al", "Al"],
  "frac_coords": [[0.000, 0.000, 0.000], [0.500, 0.500, 0.000], [0.168, 0.668, 0.500], [0.668, 0.832, 0.500], [0.832, 0.332, 0.500], [0.332, 0.168, 0.500], [0.362, 0.862, 0.000], [0.862, 0.638, 0.000], [0.638, 0.138, 0.000], [0.138, 0.362, 0.000]]
}



Entry 4:
{
  "formula": "LaSm2TmTe5",
  "functional": "PBE-GGA",
  "state": "relaxed",
  "crystal_system": "tetragonal",
  "dos_ef_per_ev_fu": 7.38,
  "formation_energy_uncorrected_ev_per_fu": -7.774,
  "total_magnetization_mub_per_fu": 0.4,
  "space_group": "P4/mmm",
  "lattice": [[5.493, 0.000, 0.000], [0.000, 5.493, 0.000], [0.000, 0.000, 11.859]],
  "species": ["La", "Sm", "Sm", "Tm", "Te", "Te", "Te", "Te", "Te"],
  "frac_coords": [[0.000, 0.000, 0.000], [0.500, 0.500, 0.349], [0.500, 0.500, 0.651], [0.000, 0.000, 0.500], [0.000, 0.500, 0.500], [0.500, 0.000, 0.500], [0.000, 0.000, 0.747], [0.000, 0.000, 0.253], [0.500, 0.500, 0.000]]
}



Please write out number 3 again, unchanged.
{
  "formula": "Hf2Al2Rh",
  "functional": "PBE-GGA",
  "state": "relaxed",
  "formation_energy_mev_per_atom": -580,
  "crystal_system": "tetragonal",
  "dos_ef_per_ev_fu": 3.90,
  "total_magnetization_mub_per_fu": 0.0,
  "space_group": "P4/mbm",
  "lattice": [[6.520, 0.000, 0.000], [0.000, 6.520, 0.000], [0.000, 0.000, 4.204]],
  "species": ["Rh", "Rh", "Hf", "Hf", "Hf", "Hf", "Al", "Al", "Al", "Al"],
  "frac_coords": [[0.000, 0.000, 0.000], [0.500, 0.500, 0.000], [0.168, 0.668, 0.500], [0.668, 0.832, 0.500], [0.832, 0.332, 0.500], [0.332, 0.168, 0.500], [0.362, 0.862, 0.000], [0.862, 0.638, 0.000], [0.638, 0.138, 0.000], [0.138, 0.362, 0.000]]
}